PBE-GGA CsSmAu, relaxed; space-group type = No. 216; calculated volume = 98 Å³/f.u.; energy relative to the lowest polymorph listed for this composition = 338 meV/atom; crystal system = cubic
1.0
7.330 0.000 0.000
0.000 7.330 0.000
0.000 0.000 7.330
Cs Sm Au
4 4 4
direct
0.000 0.000 0.000 Cs
0.000 0.500 0.500 Cs
0.500 0.000 0.500 Cs
0.500 0.500 0.000 Cs
0.250 0.250 0.750 Sm
0.250 0.750 0.250 Sm
0.750 0.250 0.250 Sm
0.750 0.750 0.750 Sm
0.250 0.250 0.250 Au
0.250 0.750 0.750 Au
0.750 0.250 0.750 Au
0.750 0.750 0.250 Au



PBE-GGA CsSmAu, relaxed; space-group type = No. 216; calculated volume = 98 Å³/f.u.; energy relative to the lowest polymorph listed for this composition = 0 meV/atom; crystal system = cubic
1.0
7.314 0.000 0.000
0.000 7.314 0.000
0.000 0.000 7.314
Cs Sm Au
4 4 4
direct
0.000 0.000 0.000 Cs
0.000 0.500 0.500 Cs
0.500 0.000 0.500 Cs
0.500 0.500 0.000 Cs
0.250 0.250 0.750 Sm
0.250 0.750 0.250 Sm
0.750 0.250 0.250 Sm
0.750 0.750 0.750 Sm
0.000 0.000 0.500 Au
0.000 0.500 0.000 Au
0.500 0.000 0.000 Au
0.500 0.500 0.500 Au



PBE-GGA CsSnTe4Au3, relaxed; space-group type = No. 11; calculated volume = 316 Å³/f.u.; energy relative to the lowest polymorph listed for this composition = 0 meV/atom; crystal system = monoclinic
1.0
6.613 0.000 0.000
0.000 8.615 0.000
-2.217 0.000 11.083
Cs Sn Te Au
2 2 8 6
direct
0.218 0.250 0.371 Cs
0.782 0.750 0.629 Cs
0.112 0.250 0.773 Sn
0.888 0.750 0.227 Sn
0.015 0.750 0.001 Te
0.203 0.750 0.427 Te
0.346 0.541 0.774 Te
0.346 0.959 0.774 Te
0.654 0.041 0.226 Te
0.654 0.459 0.226 Te
0.797 0.250 0.573 Te
0.985 0.250 0.999 Te
0.344 0.564 0.054 Au
0.344 0.936 0.054 Au
0.499 0.750 0.292 Au
0.501 0.250 0.708 Au
0.656 0.064 0.946 Au
0.656 0.436 0.946 Au



PBE-GGA CsSnTe4Au3, relaxed; space-group type = No. 215; calculated volume = 355 Å³/f.u.; energy relative to the lowest polymorph listed for this composition = 205 meV/atom; crystal system = cubic
1.0
7.081 0.000 0.000
0.000 7.081 0.000
0.000 0.000 7.081
Cs Sn Te Au
1 1 4 3
direct
0.000 0.000 0.000 Cs
0.500 0.500 0.500 Sn
0.278 0.278 0.278 Te
0.278 0.722 0.722 Te
0.722 0.278 0.722 Te
0.722 0.722 0.278 Te
0.000 0.500 0.500 Au
0.500 0.000 0.500 Au
0.500 0.500 0.000 Au



PBE-GGA CsTaTe3Au, relaxed; space-group type = No. 63; calculated volume = 193 Å³/f.u.; DFT total energy = -54.89 eV per cell; crystal system = orthorhombic
1.0
2.033 -8.707 0.000
2.033 8.707 0.000
0.000 0.000 10.905
Cs Ta Te Au
2 2 6 2
direct
0.239 0.761 0.750 Cs
0.761 0.239 0.250 Cs
0.000 0.000 0.000 Ta
0.000 0.000 0.500 Ta
0.066 0.934 0.250 Te
0.386 0.614 0.031 Te
0.386 0.614 0.469 Te
0.614 0.386 0.531 Te
0.614 0.386 0.969 Te
0.934 0.066 0.750 Te
0.457 0.543 0.250 Au
0.543 0.457 0.750 Au



PBE-GGA CsTcTe3Au, relaxed; space-group type = No. 63; calculated volume = 188 Å³/f.u.; DFT total energy = -50.04 eV per cell; crystal system = orthorhombic
1.0
2.018 -8.599 0.000
2.018 8.599 0.000
0.000 0.000 10.854
Cs Tc Te Au
2 2 6 2
direct
0.239 0.761 0.750 Cs
0.761 0.239 0.250 Cs
0.000 0.000 0.000 Tc
0.000 0.000 0.500 Tc
0.061 0.939 0.250 Te
0.389 0.611 0.021 Te
0.389 0.611 0.479 Te
0.611 0.389 0.521 Te
0.611 0.389 0.979 Te
0.939 0.061 0.750 Te
0.449 0.551 0.250 Au
0.551 0.449 0.750 Au



PBE-GGA CsTmTe3Au, relaxed; space-group type = No. 63; calculated volume = 212 Å³/f.u.; DFT total energy = -47.07 eV per cell; crystal system = orthorhombic
1.0
2.121 -8.835 0.000
2.121 8.835 0.000
0.000 0.000 11.290
Cs Tm Te Au
2 2 6 2
direct
0.246 0.754 0.750 Cs
0.754 0.246 0.250 Cs
0.000 0.000 0.000 Tm
0.000 0.000 0.500 Tm
0.068 0.932 0.250 Te
0.379 0.621 0.045 Te
0.379 0.621 0.455 Te
0.621 0.379 0.545 Te
0.621 0.379 0.955 Te
0.932 0.068 0.750 Te
0.464 0.536 0.250 Au
0.536 0.464 0.750 Au



PBE-GGA CsTe4WAu3, relaxed; space-group type = No. 215; calculated volume = 331 Å³/f.u.; DFT total energy = -35.94 eV per cell; crystal system = cubic
1.0
6.917 0.000 0.000
0.000 6.917 0.000
0.000 0.000 6.917
Cs Te W Au
1 4 1 3
direct
0.000 0.000 0.000 Cs
0.284 0.284 0.284 Te
0.284 0.716 0.716 Te
0.716 0.284 0.716 Te
0.716 0.716 0.284 Te
0.500 0.500 0.500 W
0.000 0.500 0.500 Au
0.500 0.000 0.500 Au
0.500 0.500 0.000 Au